1.
A relaxed AcNdBiPd crystal, computed with PBE-GGA.

Cell lengths 5.542, 5.542, 5.542 Å; angles 60.00, 60.00, 60.00 degrees
Fractional coordinates of all 4 atoms:
Ac: 0.000 0.000 0.000
Nd: 0.500 0.500 0.500
Bi: 0.250 0.250 0.250
Pd: 0.750 0.750 0.750

Its formation energy is -2.5 eV/f.u. The space group is No. 216. The value obtained for the density of states at the Fermi level is 3.22 states/eV/f.u. For the total energy, the calculation gives -20.4 eV per cell.

2.
A relaxed Re2IrBr crystal, computed with PBE-GGA.

Cell lengths 2.783, 2.783, 10.100 Å; angles 90.00, 90.00, 120.59 degrees
Fractional coordinates of all 4 atoms:
Re: 0.000 0.000 0.227
Re: 0.000 0.000 0.773
Ir: 0.500 0.500 0.000
Br: 0.500 0.500 0.500

The energy relative to the lowest polymorph listed for this composition comes out at 0.467 eV per atom. The space group is No. 65. The value obtained for the density of states at the Fermi level is 4.57 states/eV/f.u. For the total energy, the calculation gives -31.5 eV per cell.

3.
A relaxed TbEr4Al5 crystal, computed with PBE-GGA.

Cell lengths 3.561, 3.561, 18.038 Å; angles 90.00, 90.00, 90.00 degrees
Fractional coordinates of all 10 atoms:
Tb: 0.000 0.000 0.000
Er: 0.000 0.000 0.202
Er: 0.000 0.000 0.401
Er: 0.000 0.000 0.599
Er: 0.000 0.000 0.798
Al: 0.500 0.500 0.103
Al: 0.500 0.500 0.302
Al: 0.500 0.500 0.500
Al: 0.500 0.500 0.698
Al: 0.500 0.500 0.897

Its formation energy is -3.9 eV/f.u. The space group is No. 123. The value obtained for the density of states at the Fermi level is 5.14 states/eV/f.u. For the total energy, the calculation gives -45.5 eV per cell.

4.
A relaxed Tc2TeMo crystal, computed with PBE-GGA.

Cell lengths 5.323, 5.323, 5.323 Å; angles 145.19, 130.08, 62.30 degrees
Fractional coordinates of all 4 atoms:
Tc: 0.000 0.000 0.000
Tc: 0.733 0.233 0.500
Te: 0.232 0.732 0.500
Mo: 0.474 0.474 0.000

The space group is No. 44. The value obtained for the density of states at the Fermi level is 3.68 states/eV/f.u. For the total energy, the calculation gives -33.3 eV per cell.

5.
A relaxed Sc2TeIrBr crystal, computed with PBE-GGA.

Cell lengths 5.370, 5.370, 5.258 Å; angles 90.00, 90.00, 90.00 degrees
Fractional coordinates of all 5 atoms:
Sc: 0.000 0.500 0.000
Sc: 0.500 0.000 0.000
Te: 0.000 0.000 0.000
Ir: 0.500 0.500 0.500
Br: 0.000 0.000 0.500

The space group is No. 123. The value obtained for the density of states at the Fermi level is 8.55 states/eV/f.u. For the total energy, the calculation gives -21.8 eV per cell.

6.
A relaxed LaNdAl2 crystal, computed with PBE-GGA.

Cell lengths 5.325, 5.325, 5.325 Å; angles 60.00, 60.00, 60.00 degrees
Fractional coordinates of all 4 atoms:
La: 0.000 0.000 0.000
Nd: 0.500 0.500 0.500
Al: 0.250 0.250 0.250
Al: 0.750 0.750 0.750

Its formation energy is -1.4 eV/f.u. The energy relative to the lowest polymorph listed for this composition comes out at 0.017 eV per atom. The space group is No. 225. The value obtained for the density of states at the Fermi level is 1.27 states/eV/f.u. For the total energy, the calculation gives -18.6 eV per cell.

7.
A relaxed AcEuEr crystal, computed with PBE-GGA.

Cell lengths 8.259, 8.259, 8.259 Å; angles 153.00, 153.00, 38.55 degrees
Fractional coordinates of all 3 atoms:
Ac: 0.000 0.000 0.000
Eu: 0.317 0.317 0.000
Er: 0.656 0.656 0.000

Its formation energy is 0.2 eV/f.u. The space group is No. 107. The value obtained for the density of states at the Fermi level is 3.81 states/eV/f.u. For the total energy, the calculation gives -18.7 eV per cell.

8.
A relaxed ZrBiCl2 crystal, computed with PBE-GGA.

Cell lengths 5.890, 6.321, 7.899 Å; angles 99.82, 103.40, 117.74 degrees
Fractional coordinates of all 8 atoms:
Zr: 0.250 0.000 0.000
Zr: 0.750 0.000 0.000
Bi: 0.184 0.445 0.877
Bi: 0.816 0.555 0.123
Cl: 0.212 0.255 0.275
Cl: 0.420 0.011 0.725
Cl: 0.580 0.989 0.275
Cl: 0.788 0.745 0.725

The energy relative to the lowest polymorph listed for this composition comes out at 0.157 eV per atom. The space group is No. 2. The value obtained for the density of states at the Fermi level is 0.63 states/eV/f.u. For the total energy, the calculation gives -40.6 eV per cell.